No. 1
! GaFe3H | the Alexandria database | PBE | relaxed; values from VASP
! Symmetry: P1
! Mass density: 7.70 g cm⁻³
! Energy: -6.40 eV per atom
! Spin magnetization: 6.59 μB/f.u.
! Crystal system: triclinic
&SYSTEM
  ibrav = 0, nat = 10, ntyp = 3
/
ATOMIC_SPECIES
H 1.01 H.upf
Fe 55.84 Fe.upf
Ga 69.72 Ga.upf
CELL_PARAMETERS angstrom
5.107 -0.162 -0.271
-0.234 4.618 -0.208
-2.670 -0.122 4.513
ATOMIC_POSITIONS crystal
H 0.400 0.936 0.843
H 0.497 0.544 0.974
Fe 0.340 0.759 0.116
Fe 0.020 0.054 0.602
Fe 0.266 0.546 0.589
Fe 0.862 0.745 0.120
Fe 0.607 0.235 0.130
Fe 0.530 0.042 0.609
Ga 0.778 0.558 0.606
Ga 0.094 0.238 0.115

***

No. 2
! Re2NiTe | the Alexandria database | PBE | relaxed; values from VASP
! Symmetry: R-3m
! Mass density: 14.58 g cm⁻³
! Uncorrected formation energy: 0.81 eV per atom
! Energy: -7.65 eV per atom
! Spin magnetization: 0.00 μB/f.u.
! Crystal system: trigonal
&SYSTEM
  ibrav = 0, nat = 4, ntyp = 3
/
ATOMIC_SPECIES
Ni 58.69 Ni.upf
Re 186.21 Re.upf
Te 127.60 Te.upf
CELL_PARAMETERS angstrom
-5.026 -0.575 -6.750
-2.474 -1.601 -7.904
-4.279 -3.441 -6.403
ATOMIC_POSITIONS crystal
Ni 0.750 0.750 0.750
Re 0.005 0.005 0.005
Re 0.495 0.495 0.495
Te 0.250 0.250 0.250

***

No. 3
! ScCu2Br6 | the Alexandria database | PBE | relaxed; values from VASP
! Energy above the most stable polymorph in this dataset: 0.008 eV per atom
! Symmetry: C2/c
! Mass density: 3.72 g cm⁻³
! Uncorrected formation energy: -0.89 eV per atom
! Energy: -3.62 eV per atom
! Spin magnetization: 0.00 μB/f.u.
! Crystal system: monoclinic
&SYSTEM
  ibrav = 0, nat = 18, ntyp = 3
/
ATOMIC_SPECIES
Sc 44.96 Sc.upf
Cu 63.55 Cu.upf
Br 79.90 Br.upf
CELL_PARAMETERS angstrom
-5.513 -2.556 2.972
4.419 -2.730 7.851
-1.391 7.337 5.732
ATOMIC_POSITIONS crystal
Sc 0.250 0.087 0.913
Sc 0.750 0.913 0.087
Cu 0.218 0.535 0.692
Cu 0.282 0.308 0.465
Cu 0.782 0.465 0.308
Cu 0.718 0.692 0.535
Br 0.369 0.720 0.529
Br 0.131 0.471 0.280
Br 0.631 0.280 0.471
Br 0.869 0.529 0.720
Br 0.867 0.873 0.357
Br 0.633 0.643 0.127
Br 0.133 0.127 0.643
Br 0.367 0.357 0.873
Br 0.100 0.825 0.967
Br 0.400 0.033 0.175
Br 0.900 0.175 0.033
Br 0.600 0.967 0.825

***

No. 4
! Sc2FeMo | the Alexandria database | PBE | relaxed; values from VASP
! Energy above the most stable polymorph in this dataset: 0.000 eV per atom
! Symmetry: P4mm
! ΔH_f (0 K): 0.026 eV per atom
! Mass density: 5.51 g cm⁻³
! Energy: -7.96 eV per atom
! Spin magnetization: 0.00 μB/f.u.
! Crystal system: tetragonal
&SYSTEM
  ibrav = 0, nat = 4, ntyp = 3
/
ATOMIC_SPECIES
Fe 55.84 Fe.upf
Mo 95.94 Mo.upf
Sc 44.96 Sc.upf
CELL_PARAMETERS angstrom
-1.007 -1.834 -2.131
-2.050 -1.069 1.891
-5.265 5.749 -2.459
ATOMIC_POSITIONS crystal
Fe 0.000 0.000 0.533
Mo 0.500 0.500 0.700
Sc 0.000 0.000 0.951
Sc 0.500 0.500 0.315

***

What did the third record say?
! ScCu2Br6 | the Alexandria database | PBE | relaxed; values from VASP
! Energy above the most stable polymorph in this dataset: 0.008 eV per atom
! Symmetry: C2/c
! Mass density: 3.72 g cm⁻³
! Uncorrected formation energy: -0.89 eV per atom
! Energy: -3.62 eV per atom
! Spin magnetization: 0.00 μB/f.u.
! Crystal system: monoclinic
&SYSTEM
  ibrav = 0, nat = 18, ntyp = 3
/
ATOMIC_SPECIES
Sc 44.96 Sc.upf
Cu 63.55 Cu.upf
Br 79.90 Br.upf
CELL_PARAMETERS angstrom
-5.513 -2.556 2.972
4.419 -2.730 7.851
-1.391 7.337 5.732
ATOMIC_POSITIONS crystal
Sc 0.250 0.087 0.913
Sc 0.750 0.913 0.087
Cu 0.218 0.535 0.692
Cu 0.282 0.308 0.465
Cu 0.782 0.465 0.308
Cu 0.718 0.692 0.535
Br 0.369 0.720 0.529
Br 0.131 0.471 0.280
Br 0.631 0.280 0.471
Br 0.869 0.529 0.720
Br 0.867 0.873 0.357
Br 0.633 0.643 0.127
Br 0.133 0.127 0.643
Br 0.367 0.357 0.873
Br 0.100 0.825 0.967
Br 0.400 0.033 0.175
Br 0.900 0.175 0.033
Br 0.600 0.967 0.825